Record 1
Compound: MgPaTaO6
Source: Alexandria
Functional: PBE
Structure: optimized geometry

It has space group P-31c (No. 163), with a = 5.5502 Å, b = 5.5502 Å, c = 8.9273 Å, α = 90.00°, β = 90.00° and γ = 120.00°. The distinct sites, in fractional coordinates, are Mg at (0.0000, 0.0000, 0.0000), Pa at (0.3333, 0.6667, 0.2500), Ta at (0.3333, 0.6667, 0.7500) and O at (0.0245, 0.3581, 0.6324).

The electronic total energy comes out at -8.862 eV/atom.

Record 2
Compound: Tb2Y2Sc3
Source: Alexandria
Functional: PBE
Structure: optimized geometry

It has space group P2_1/c (No. 14), with a = 6.1515 Å, b = 5.7058 Å, c = 11.6914 Å, α = 90.00°, β = 99.55° and γ = 90.00°. The distinct sites, in fractional coordinates, are Tb at (0.1126, 0.0988, 0.2956), Y at (0.4495, 0.5663, 0.3501), Sc at (0.0000, 0.0000, 0.0000) and Sc at (0.2875, 0.5409, 0.0577).

The electronic total energy comes out at -5.776 eV/atom. The value obtained for the formation energy is 0.107 eV/atom. Its excess energy over the best structure of this formula in the dataset is 0.00 eV/f.u.

Record 3
Compound: MnFe2Ni4
Source: Alexandria
Functional: PBE
Structure: optimized geometry

It has space group Cmmm (No. 65), with a = 8.0375 Å, b = 8.1253 Å, c = 2.5990 Å, α = 90.00°, β = 90.00° and γ = 90.00°. The distinct sites, in fractional coordinates, are Mn at (0.0000, 0.0000, 0.0000), Fe at (0.1935, 0.5000, 0.5000), Ni at (0.0000, 0.2695, 0.5000) and Ni at (0.2500, 0.2500, 0.0000).

The electronic total energy comes out at -6.875 eV/atom. The value obtained for the formation energy is 0.157 eV/atom.

Record 4
Compound: LiNd6Tl
Source: Alexandria
Functional: PBE
Structure: optimized geometry

It has space group I4/mmm (No. 139), with a = 5.1835 Å, b = 5.1835 Å, c = 19.0559 Å, α = 90.00°, β = 90.00° and γ = 90.00°. The distinct sites, in fractional coordinates, are Li at (0.0000, 0.0000, 0.0000), Nd at (0.0000, 0.0000, 0.2480), Nd at (0.0000, 0.5000, 0.1136) and Tl at (0.0000, 0.0000, 0.5000).

The electronic total energy comes out at -4.198 eV/atom. The value obtained for the formation energy is -0.087 eV/atom.

Record 5
Compound: Na2Li17
Source: Alexandria
Functional: PBE
Structure: optimized geometry

It has space group R-3m (No. 166, hexagonal axes), with a = 10.0403 Å, b = 10.0403 Å, c = 14.9724 Å, α = 90.00°, β = 90.00° and γ = 120.00°. The distinct sites, in fractional coordinates, are Na at (0.0000, 0.0000, 0.1634), Li at (0.0000, 0.0000, 0.4018), Li at (0.0000, 0.2915, 0.5000), Li at (0.0000, 0.5000, 0.0000) and Li at (0.0023, 0.5012, 0.6459).

The electronic total energy comes out at -1.793 eV/atom. The value obtained for the formation energy is 0.058 eV/atom.

Record 6
Compound: PmDyTlPt
Source: Alexandria
Functional: PBE
Structure: optimized geometry

It has space group F-43m (No. 216), with a = 7.3788 Å, b = 7.3788 Å, c = 7.3788 Å, α = 90.00°, β = 90.00° and γ = 90.00°. The distinct sites, in fractional coordinates, are Pm at (0.0000, 0.0000, 0.0000), Dy at (0.0000, 0.0000, 0.5000), Tl at (0.2500, 0.2500, 0.2500) and Pt at (0.2500, 0.2500, 0.7500).

The electronic total energy comes out at -5.093 eV/atom. The value obtained for the formation energy is -0.653 eV/atom.

Record 7
Compound: LiAlTl2O5
Source: Alexandria
Functional: PBE
Structure: optimized geometry

It has space group Cmc2_1 (No. 36), with a = 3.3529 Å, b = 13.2200 Å, c = 10.7919 Å, α = 90.00°, β = 90.00° and γ = 90.00°. The distinct sites, in fractional coordinates, are Li at (0.0000, 0.1706, 0.0000), Al at (0.0000, 0.4749, 0.3824), Tl at (0.0000, 0.0956, 0.6089), Tl at (0.0000, 0.2039, 0.2948), O at (0.0000, 0.0197, 0.9620), O at (0.0000, 0.2568, 0.6528), O at (0.0000, 0.3378, 0.4063), O at (0.0000, 0.3773, 0.8975) and O at (0.0000, 0.4787, 0.2123).

The electronic total energy comes out at -5.331 eV/atom.

Record 8
Compound: Ac4PmSe6
Source: Alexandria
Functional: PBE
Structure: optimized geometry

It has space group R-3c (No. 167, hexagonal axes), with a = 12.3726 Å, b = 12.3726 Å, c = 14.9819 Å, α = 90.00°, β = 90.00° and γ = 120.00°. The distinct sites, in fractional coordinates, are Ac at (0.0000, 0.0000, 0.2500), Ac at (0.0000, 0.3817, 0.2500), Pm at (0.0000, 0.0000, 0.0000) and Se at (0.0286, 0.2029, 0.3872).

The electronic total energy comes out at -5.666 eV/atom.

Record 9
Compound: TaCd3Rh
Source: Alexandria
Functional: PBE
Structure: optimized geometry

It has space group Pm-3m (No. 221), with a = 4.9695 Å, b = 4.9695 Å, c = 4.9695 Å, α = 90.00°, β = 90.00° and γ = 90.00°. The distinct sites, in fractional coordinates, are Ta at (0.0000, 0.0000, 0.0000), Cd at (0.0000, 0.5000, 0.5000) and Rh at (0.5000, 0.5000, 0.5000).

The electronic total energy comes out at -3.213 eV/atom. The value obtained for the formation energy is 1.177 eV/atom. Its excess energy over the best structure of this formula in the dataset is 0.00 eV/f.u.

Record 10
Compound: Pm7Sm3
Source: Alexandria
Functional: PBE
Structure: optimized geometry

It has space group C2/m (No. 12), with a = 18.5934 Å, b = 5.1440 Å, c = 7.2841 Å, α = 90.00°, β = 101.36° and γ = 90.00°. The distinct sites, in fractional coordinates, are Pm at (0.0000, 0.0000, 0.0000), Pm at (0.1000, 0.5000, 0.2998), Pm at (0.1001, 0.5000, 0.8001), Pm at (0.2000, 0.0000, 0.6001), Sm at (0.0000, 0.0000, 0.5000) and Sm at (0.2002, 0.0000, 0.0999).

The electronic total energy comes out at -4.729 eV/atom. The value obtained for the formation energy is 0.012 eV/atom. Its excess energy over the best structure of this formula in the dataset is 0.00 eV/f.u.

Record 11
Compound: CdPtPb2
Source: Alexandria
Functional: PBE
Structure: optimized geometry

It has space group P4mm (No. 99), with a = 3.3533 Å, b = 3.3533 Å, c = 8.8492 Å, α = 90.00°, β = 90.00° and γ = 90.00°. The distinct sites, in fractional coordinates, are Cd at (0.0000, 0.0000, 0.0000), Pt at (0.5000, 0.5000, 0.8207), Pb at (0.0000, 0.0000, 0.6178) and Pb at (0.5000, 0.5000, 0.2712).

The electronic total energy comes out at -3.683 eV/atom. The value obtained for the formation energy is -0.090 eV/atom.

Record 12
Compound: GaFeNiPd
Source: Alexandria
Functional: PBE
Structure: optimized geometry

It has space group F-43m (No. 216), with a = 5.9764 Å, b = 5.9764 Å, c = 5.9764 Å, α = 90.00°, β = 90.00° and γ = 90.00°. The distinct sites, in fractional coordinates, are Ga at (0.0000, 0.0000, 0.0000), Fe at (0.0000, 0.0000, 0.5000), Ni at (0.2500, 0.2500, 0.7500) and Pd at (0.2500, 0.2500, 0.2500).

The electronic total energy comes out at -5.826 eV/atom. The value obtained for the formation energy is -0.210 eV/atom.

Record 13
Compound: La2CoPN
Source: Alexandria
Functional: PBE
Structure: optimized geometry

It has space group P2_1/m (No. 11), with a = 6.3464 Å, b = 3.8924 Å, c = 8.3410 Å, α = 90.00°, β = 109.46° and γ = 90.00°. The distinct sites, in fractional coordinates, are La at (0.2131, 0.2500, 0.3932), La at (0.2257, 0.2500, 0.9653), Co at (0.4849, 0.7500, 0.2538), P at (0.3174, 0.7500, 0.7018) and N at (0.1728, 0.7500, 0.1737).

The electronic total energy comes out at -7.256 eV/atom. Its excess energy over the best structure of this formula in the dataset is 0.00 eV/f.u.

Record 14
Compound: Cs3BeRe
Source: Alexandria
Functional: PBE
Structure: optimized geometry

It has space group Pm-3m (No. 221), with a = 6.8473 Å, b = 6.8473 Å, c = 6.8473 Å, α = 90.00°, β = 90.00° and γ = 90.00°. The distinct sites, in fractional coordinates, are Cs at (0.0000, 0.0000, 0.5000), Be at (0.0000, 0.0000, 0.0000) and Re at (0.5000, 0.5000, 0.5000).

The electronic total energy comes out at -1.903 eV/atom. The value obtained for the formation energy is 1.844 eV/atom. Its excess energy over the best structure of this formula in the dataset is 0.00 eV/f.u.

Record 15
Compound: CaCr2P
Source: Alexandria
Functional: PBE
Structure: optimized geometry

It has space group C2/m (No. 12), with a = 5.7939 Å, b = 9.6055 Å, c = 2.9554 Å, α = 90.00°, β = 120.49° and γ = 90.00°. The distinct sites, in fractional coordinates, are Ca at (0.0000, 0.0000, 0.0000), Cr at (0.2500, 0.2500, 0.5000) and P at (0.0000, 0.5000, 0.0000).

The electronic total energy comes out at -6.121 eV/atom. The value obtained for the formation energy is 0.544 eV/atom.

Record 16
Compound: Pr3Ag4Hg4
Source: Alexandria
Functional: PBE
Structure: optimized geometry

It has space group P-1 (No. 2), with a = 3.5122 Å, b = 4.9320 Å, c = 15.6932 Å, α = 98.98°, β = 96.37° and γ = 90.09°. The distinct sites, in fractional coordinates, are Pr at (0.0000, 0.0000, 0.0000), Pr at (0.1405, 0.6399, 0.2816), Ag at (0.2630, 0.2638, 0.5263), Ag at (0.4069, 0.9071, 0.8128), Hg at (0.3134, 0.8138, 0.6265) and Hg at (0.4520, 0.4522, 0.9037).

The electronic total energy comes out at -2.744 eV/atom. The value obtained for the formation energy is -0.294 eV/atom.

Record 17
Compound: PrNdRu
Source: Alexandria
Functional: PBE
Structure: optimized geometry

It has space group I4mm (No. 107), with a = 3.5134 Å, b = 3.5134 Å, c = 13.8010 Å, α = 90.00°, β = 90.00° and γ = 90.00°. The distinct sites, in fractional coordinates, are Pr at (0.0000, 0.0000, 0.0000), Nd at (0.0000, 0.0000, 0.2483) and Ru at (0.0000, 0.0000, 0.6257).

The electronic total energy comes out at -6.404 eV/atom. The value obtained for the formation energy is -0.129 eV/atom. Its excess energy over the best structure of this formula in the dataset is 0.02 eV/f.u.

Record 18
Compound: Si2NiIr
Source: Alexandria
Functional: PBE
Structure: optimized geometry

It has space group I-4m2 (No. 119), with a = 3.5767 Å, b = 3.5767 Å, c = 7.8279 Å, α = 90.00°, β = 90.00° and γ = 90.00°. The distinct sites, in fractional coordinates, are Si at (0.0000, 0.0000, 0.0000), Si at (0.0000, 0.5000, 0.2500), Ni at (0.0000, 0.0000, 0.5000) and Ir at (0.0000, 0.5000, 0.7500).

The electronic total energy comes out at -6.691 eV/atom.

Record 19
Compound: Y2TmPaP4
Source: Alexandria
Functional: PBE
Structure: optimized geometry

It has space group P2/m (No. 10), with a = 6.8786 Å, b = 3.9875 Å, c = 6.8959 Å, α = 90.00°, β = 109.48° and γ = 90.00°. The distinct sites, in fractional coordinates, are Y at (0.0000, 0.0000, 0.0000), Y at (0.5000, 0.5000, 0.0000), Tm at (0.0000, 0.5000, 0.5000), Pa at (0.5000, 0.0000, 0.5000), P at (0.2503, 0.0000, 0.7436) and P at (0.2521, 0.5000, 0.2551).

The electronic total energy comes out at -7.617 eV/atom. The value obtained for the formation energy is -1.551 eV/atom.

Record 20
Compound: Np2PaIn9
Source: Alexandria
Functional: PBE
Structure: optimized geometry

It has space group P4/mmm (No. 123), with a = 4.6438 Å, b = 4.6438 Å, c = 13.9193 Å, α = 90.00°, β = 90.00° and γ = 90.00°. The distinct sites, in fractional coordinates, are Np at (0.0000, 0.0000, 0.1669), Pa at (0.0000, 0.0000, 0.5000), In at (0.0000, 0.5000, 0.0000), In at (0.0000, 0.5000, 0.3324), In at (0.5000, 0.5000, 0.1664) and In at (0.5000, 0.5000, 0.5000).

The electronic total energy comes out at -5.050 eV/atom. The value obtained for the formation energy is -0.048 eV/atom.